[1]
This record from Alexandria describes a geometry-optimized SrMg2N structure. The functional is PBE-GGA.

The structure in extended XYZ format:
```
8
Lattice="-3.337 3.337 4.706 3.337 -3.337 4.706 3.337 3.337 -4.706" Properties=species:S:1:pos:R:3 pbc="T T T"
Sr 3.337 1.669 1.176
Sr 0.000 1.669 3.529
Mg 0.000 0.000 0.000
Mg 1.669 1.669 -2.353
Mg 1.669 -1.669 2.353
Mg 0.000 3.337 0.000
N 3.337 -1.669 3.529
N 0.000 5.006 1.176
```

Output
* magnetization: 0.00 μB/f.u.
* crystal system: tetragonal
* final energy: -3.452 eV per atom
* mass density: 2.4 g cm⁻³
* energy relative to the elements, uncorrected: -0.1527 eV per atom

---

[2]
This record from Alexandria describes a geometry-optimized MgScNb structure. The functional is PBE-GGA.

The structure in extended XYZ format:
```
3
Lattice="-1.472 1.472 7.270 1.472 -1.472 7.270 1.472 1.472 -7.270" Properties=species:S:1:pos:R:3 pbc="T T T"
Mg 0.000 0.000 0.000
Sc 0.000 0.000 4.609
Nb 0.000 0.000 9.670
```

Output
* magnetization: 0.00 μB/f.u.
* crystal system: tetragonal
* final energy: -5.925 eV per atom
* energy of formation: 73.9 meV/atom
* mass density: 4.3 g cm⁻³

---

[3]
This record from Alexandria describes a geometry-optimized HfFe2Si2 structure. The functional is PBE-GGA.

The structure in extended XYZ format:
```
10
Lattice="4.071 0.000 0.000 0.000 3.899 0.000 -0.166 0.000 8.524" Properties=species:S:1:pos:R:3 pbc="T T T"
Hf 0.959 0.975 2.044
Hf 2.946 2.925 6.480
Fe 0.552 0.975 5.111
Fe 1.019 2.925 0.018
Fe 2.887 0.975 8.506
Fe 3.353 2.925 3.414
Si 0.856 0.975 7.347
Si 1.267 2.925 4.255
Si 2.638 0.975 4.270
Si 3.049 2.925 1.177
```

Output
* magnetization: 0.00 μB/f.u.
* crystal system: monoclinic
* final energy: -8.114 eV per atom
* mass density: 8.5 g cm⁻³
* energy relative to the elements, uncorrected: -0.5691 eV per atom

---

[4]
This record from Alexandria describes a geometry-optimized TcSbBr2 structure. The functional is PBE-GGA.

The structure in extended XYZ format:
```
4
Lattice="0.000 3.574 3.586 3.568 0.000 3.586 3.568 3.574 0.000" Properties=species:S:1:pos:R:3 pbc="T T T"
Tc 0.000 0.000 0.000
Sb 1.784 1.787 1.793
Br 3.568 3.574 3.586
Br 5.352 5.360 5.379
```

Output
* magnetization: 2.15 μB/f.u.
* crystal system: orthorhombic
* final energy: -3.754 eV per atom
* mass density: 6.9 g cm⁻³
* energy relative to the elements, uncorrected: 0.7042 eV per atom

---

[5]
This record from Alexandria describes a geometry-optimized Sm5Sc2In4 structure. The functional is PBE-GGA.

The structure in extended XYZ format:
```
11
Lattice="-1.671 5.145 9.705 1.671 -5.145 9.705 1.671 5.145 -9.705" Properties=species:S:1:pos:R:3 pbc="T T T"
Sm 0.000 0.000 0.000
Sm 1.671 2.602 -3.200
Sm 1.671 2.602 3.200
Sm 0.000 2.543 6.505
Sm 0.000 2.543 12.905
Sc 1.671 0.000 5.004
Sc 0.000 5.145 4.701
In 1.671 2.914 0.000
In 1.671 0.000 8.021
In 0.000 5.145 1.684
In 0.000 2.231 9.705
```

Output
* magnetization: 0.26 μB/f.u.
* crystal system: orthorhombic
* final energy: -4.260 eV per atom
* energy of formation: 32.2 meV/atom
* mass density: 6.5 g cm⁻³

---

[6]
This record from Alexandria describes a geometry-optimized Hf2CoAs structure. The functional is PBE-GGA.

The structure in extended XYZ format:
```
8
Lattice="-3.511 3.511 2.975 3.511 -3.511 2.975 3.511 3.511 -2.975" Properties=species:S:1:pos:R:3 pbc="T T T"
Hf 1.755 1.581 -0.744
Hf 1.930 -1.755 3.719
Hf 1.755 1.930 2.231
Hf 1.581 5.266 0.744
Co 0.000 0.000 0.000
Co 0.000 3.511 1.487
As 3.511 0.000 1.487
As 0.000 0.000 2.975
```

Output
* magnetization: 0.00 μB/f.u.
* crystal system: tetragonal
* final energy: -8.115 eV per atom
* energy of formation: -199.8 meV/atom
* mass density: 11.1 g cm⁻³

---

[7]
This record from Alexandria describes a geometry-optimized Tb6CeSmDy2 structure. The functional is PBE-GGA.

The structure in extended XYZ format:
```
10
Lattice="5.694 -3.362 0.000 5.694 3.362 0.000 -2.649 0.000 8.613" Properties=species:S:1:pos:R:3 pbc="T T T"
Tb 3.263 1.625 1.679
Tb 0.399 0.000 3.594
Tb 5.476 1.625 6.933
Tb 3.263 -1.625 1.679
Tb 8.340 0.000 5.019
Tb 5.476 -1.625 6.933
Ce 0.000 0.000 0.000
Sm 4.369 0.000 4.306
Dy 2.466 0.000 7.140
Dy 6.273 0.000 1.473
```

Output
* magnetization: 1.74 μB/f.u.
* crystal system: monoclinic
* final energy: -4.514 eV per atom
* energy of formation: 249.9 meV/atom
* mass density: 7.9 g cm⁻³

---

[8]
This record from Alexandria describes a geometry-optimized Ce2Ho6Th structure. The functional is PBE-GGA.

The structure in extended XYZ format:
```
9
Lattice="4.555 -8.731 0.000 4.555 8.731 0.000 -0.581 0.000 3.498" Properties=species:S:1:pos:R:3 pbc="T T T"
Ce 4.555 5.858 0.000
Ce 4.555 -5.858 0.000
Ho 2.650 2.924 2.330
Ho 2.948 0.000 0.575
Ho 5.879 2.924 1.168
Ho 2.650 -2.924 2.330
Ho 5.581 0.000 2.923
Ho 5.879 -2.924 1.168
Th -0.291 0.000 1.749
```

Output
* magnetization: 2.53 μB/f.u.
* crystal system: monoclinic
* final energy: -5.041 eV per atom
* energy of formation: 153.5 meV/atom
* mass density: 9.0 g cm⁻³

---

[9]
This record from Alexandria describes a geometry-optimized Na2EuBr structure. The functional is PBE-GGA.

The structure in extended XYZ format:
```
4
Lattice="1.988 1.148 11.218 -1.988 1.148 11.218 0.000 -2.296 11.218" Properties=species:S:1:pos:R:3 pbc="T T T"
Na 0.000 0.000 3.742
Na 0.000 0.000 29.911
Eu 0.000 0.000 0.000
Br 0.000 0.000 16.827
```

Output
* magnetization: 7.76 μB/f.u.
* crystal system: trigonal
* final energy: -4.218 eV per atom
* mass density: 3.0 g cm⁻³
* energy relative to the elements, uncorrected: -0.5721 eV per atom

---

[10]
This record from Alexandria describes a geometry-optimized Hf2Ta2Mo structure. The functional is PBE-GGA.

The structure in extended XYZ format:
```
10
Lattice="6.615 0.000 0.000 0.000 6.615 0.000 0.000 0.000 4.719" Properties=species:S:1:pos:R:3 pbc="T T T"
Hf 1.077 2.230 0.000
Hf 2.230 5.538 0.000
Hf 4.385 1.077 0.000
Hf 5.538 4.385 0.000
Ta 0.980 4.287 2.359
Ta 2.328 0.980 2.359
Ta 4.287 5.635 2.359
Ta 5.635 2.328 2.359
Mo 0.000 0.000 2.359
Mo 3.308 3.308 2.359
```

Output
* magnetization: 0.00 μB/f.u.
* crystal system: tetragonal
* final energy: -10.595 eV per atom
* energy of formation: 293.8 meV/atom
* mass density: 13.1 g cm⁻³

---

[11]
This record from Alexandria describes a geometry-optimized LiMgMn structure. The functional is PBE-GGA.

The structure in extended XYZ format:
```
3
Lattice="-1.657 1.657 4.779 1.657 -1.657 4.779 1.657 1.657 -4.779" Properties=species:S:1:pos:R:3 pbc="T T T"
Li 0.000 0.000 0.000
Mg 0.000 0.000 3.092
Mn 0.000 0.000 6.237
```

Output
* magnetization: 3.87 μB/f.u.
* crystal system: tetragonal
* final energy: -3.945 eV per atom
* energy of formation: 280.6 meV/atom
* mass density: 2.7 g cm⁻³

---

[12]
This record from Alexandria describes a geometry-optimized AlZn3Ag3 structure. The functional is PBE-GGA.

The structure in extended XYZ format:
```
14
Lattice="10.411 0.000 0.000 -5.206 9.016 0.000 0.000 0.000 2.740" Properties=species:S:1:pos:R:3 pbc="T T T"
Al 0.000 6.011 0.685
Al 5.206 3.005 2.055
Zn -2.299 5.610 2.055
Zn 1.497 4.220 2.055
Zn 4.403 0.814 0.685
Zn 0.802 8.203 2.055
Zn 3.709 4.796 0.685
Zn 7.505 3.407 0.685
Ag -0.664 2.496 2.055
Ag -2.712 8.344 2.055
Ag 1.829 1.823 0.685
Ag 3.376 7.193 2.055
Ag 7.918 0.673 0.685
Ag 5.870 6.521 0.685
```

Output
* magnetization: 0.00 μB/f.u.
* crystal system: hexagonal
* final energy: -2.187 eV per atom
* energy of formation: 115.6 meV/atom
* mass density: 7.1 g cm⁻³

---

[13]
This record from Alexandria describes a geometry-optimized ErH3 structure. The functional is PBE-GGA.

The structure in extended XYZ format:
```
4
Lattice="-1.700 1.700 2.826 1.700 -1.700 2.826 1.700 1.700 -2.826" Properties=species:S:1:pos:R:3 pbc="T T T"
Er 0.000 0.000 0.000
H 1.700 0.000 1.413
H 0.000 0.000 2.826
H 0.000 1.700 1.413
```

Output
* magnetization: 0.00 μB/f.u.
* crystal system: tetragonal
* final energy: -4.206 eV per atom
* mass density: 8.7 g cm⁻³

---

[14]
This record from Alexandria describes a geometry-optimized Sc4CuRh5 structure. The functional is PBE-GGA.

The structure in extended XYZ format:
```
10
Lattice="3.218 0.000 0.000 0.000 3.218 0.000 0.000 0.000 15.580" Properties=species:S:1:pos:R:3 pbc="T T T"
Sc 0.000 0.000 1.638
Sc 0.000 0.000 4.926
Sc 0.000 0.000 10.654
Sc 0.000 0.000 13.942
Cu 0.000 0.000 7.790
Rh 1.609 1.609 0.000
Rh 1.609 1.609 3.219
Rh 1.609 1.609 6.404
Rh 1.609 1.609 9.176
Rh 1.609 1.609 12.362
```

Output
* magnetization: 0.00 μB/f.u.
* crystal system: tetragonal
* final energy: -7.442 eV per atom
* energy of formation: -824.5 meV/atom
* mass density: 7.8 g cm⁻³

---

[15]
This record from Alexandria describes a geometry-optimized CaTl3Pb2 structure. The functional is PBE-GGA.

The structure in extended XYZ format:
```
6
Lattice="2.456 -7.218 0.000 2.456 7.218 0.000 0.000 0.000 5.168" Properties=species:S:1:pos:R:3 pbc="T T T"
Ca 0.000 0.000 0.000
Tl 2.456 4.826 2.584
Tl 2.456 0.000 2.584
Tl 2.456 -4.826 2.584
Pb 2.456 2.475 0.000
Pb 2.456 -2.475 0.000
```

Output
* magnetization: 0.00 μB/f.u.
* crystal system: orthorhombic
* final energy: -2.894 eV per atom
* energy of formation: -141.1 meV/atom
* mass density: 9.7 g cm⁻³

---

[16]
This record from Alexandria describes a geometry-optimized TiNiOs structure. The functional is PBE-GGA.

The structure in extended XYZ format:
```
6
Lattice="3.760 0.000 0.000 0.000 1.881 5.775 0.000 -1.881 5.775" Properties=species:S:1:pos:R:3 pbc="T T T"
Ti 0.000 0.000 0.000
Ti 0.000 0.000 3.576
Ni 1.880 0.000 1.725
Ni 1.880 0.000 5.667
Os 0.000 0.000 7.522
Os 1.880 0.000 9.472
```

Output
* magnetization: 0.00 μB/f.u.
* crystal system: orthorhombic
* final energy: -8.645 eV per atom
* energy of formation: -343.0 meV/atom
* mass density: 12.1 g cm⁻³

---

[17]
This record from Alexandria describes a geometry-optimized Tb2Sm3DyEr6 structure. The functional is PBE-GGA.

The structure in extended XYZ format:
```
12
Lattice="3.076 -5.324 0.000 3.076 5.324 0.000 -2.042 0.000 11.535" Properties=species:S:1:pos:R:3 pbc="T T T"
Tb 3.076 3.550 0.000
Tb 3.076 -3.550 0.000
Sm -1.021 0.000 5.768
Sm 2.055 1.774 5.768
Sm 2.055 -1.774 5.768
Dy 3.076 0.000 0.000
Er 0.005 1.774 8.673
Er 1.030 0.000 2.863
Er 0.005 -1.774 8.673
Er 4.105 1.774 2.862
Er 3.080 0.000 8.672
Er 4.105 -1.774 2.862
```

Output
* magnetization: 0.00 μB/f.u.
* crystal system: monoclinic
* final energy: -4.599 eV per atom
* energy of formation: 17.8 meV/atom
* mass density: 8.5 g cm⁻³

---

[18]
This record from Alexandria describes a geometry-optimized Cs2Sn2Sb2Te structure. The functional is PBE-GGA.

The structure in extended XYZ format:
```
7
Lattice="5.063 0.000 0.000 2.506 7.970 0.000 2.496 2.337 7.973" Properties=species:S:1:pos:R:3 pbc="T T T"
Cs 1.253 1.829 1.760
Cs 8.812 8.478 6.213
Sn 3.769 5.356 2.652
Sn 6.297 4.951 5.322
Sb 3.761 3.417 4.847
Sb 6.305 6.890 3.127
Te 3.785 3.985 0.000
```

Output
* magnetization: 0.00 μB/f.u.
* crystal system: triclinic
* final energy: -3.423 eV per atom
* mass density: 4.5 g cm⁻³
* energy relative to the elements, uncorrected: -0.4092 eV per atom

---

[19]
This record from Alexandria describes a geometry-optimized HoThPdPt structure. The functional is PBE-GGA.

The structure in extended XYZ format:
```
4
Lattice="4.502 0.000 0.000 0.000 1.904 5.464 0.000 -1.904 5.464" Properties=species:S:1:pos:R:3 pbc="T T T"
Ho 0.000 0.000 0.000
Th 2.251 0.000 3.002
Pd 2.251 0.000 5.986
Pt 0.000 0.000 7.986
```

Output
* magnetization: 0.00 μB/f.u.
* crystal system: orthorhombic
* final energy: -6.891 eV per atom
* energy of formation: -1083.5 meV/atom
* mass density: 12.4 g cm⁻³

---

[20]
This record from Alexandria describes a geometry-optimized CrTeHRhAu2 structure. The functional is PBE-GGA.

The structure in extended XYZ format:
```
6
Lattice="4.594 0.000 0.000 1.861 4.211 0.000 1.885 1.211 5.099" Properties=species:S:1:pos:R:3 pbc="T T T"
Cr 0.000 0.000 0.000
Te 1.774 1.160 1.843
H 5.604 3.657 1.695
Rh 4.247 2.775 1.454
Au 4.100 2.661 4.226
Au 6.346 4.130 3.755
```

Output
* magnetization: 4.18 μB/f.u.
* crystal system: triclinic
* final energy: -4.881 eV per atom
* mass density: 11.4 g cm⁻³

---

[21]
This record from Alexandria describes a geometry-optimized Ca2CrTe structure. The functional is PBE-GGA.

The structure in extended XYZ format:
```
4
Lattice="0.000 3.834 3.834 3.834 0.000 3.834 3.834 3.834 0.000" Properties=species:S:1:pos:R:3 pbc="T T T"
Ca 0.000 0.000 0.000
Ca 1.917 1.917 1.917
Cr 3.834 3.834 3.834
Te 5.750 5.750 5.750
```

Output
* magnetization: 4.63 μB/f.u.
* crystal system: cubic
* final energy: -4.084 eV per atom
* mass density: 3.8 g cm⁻³
* energy relative to the elements, uncorrected: 0.1081 eV per atom

---

[22]
This record from Alexandria describes a geometry-optimized CoSeBr2 structure. The functional is PBE-GGA.

The structure in extended XYZ format:
```
4
Lattice="1.567 0.904 12.478 -1.567 0.904 12.478 0.000 -1.809 12.478" Properties=species:S:1:pos:R:3 pbc="T T T"
Co 0.000 0.000 0.000
Se 0.000 0.000 18.716
Br 0.000 0.000 2.244
Br 0.000 0.000 35.188
```

Output
* magnetization: 2.51 μB/f.u.
* crystal system: trigonal
* final energy: -2.961 eV per atom
* mass density: 4.7 g cm⁻³
* energy relative to the elements, uncorrected: 0.5231 eV per atom

---

[23]
This record from Alexandria describes a geometry-optimized CdAsPt2Au structure. The functional is PBE-GGA.

The structure in extended XYZ format:
```
5
Lattice="4.699 0.000 0.000 0.000 4.699 0.000 0.000 0.000 4.958" Properties=species:S:1:pos:R:3 pbc="T T T"
Cd 0.000 0.000 0.000
As 0.000 0.000 2.479
Pt 0.000 2.349 2.479
Pt 2.349 0.000 2.479
Au 2.349 2.349 0.000
```

Output
* magnetization: 0.00 μB/f.u.
* crystal system: tetragonal
* final energy: -3.691 eV per atom
* energy of formation: 493.3 meV/atom
* mass density: 11.7 g cm⁻³

---

[24]
This record from Alexandria describes a geometry-optimized Sm2Mg2Si4Pd structure. The functional is PBE-GGA.

The structure in extended XYZ format:
```
9
Lattice="-3.110 3.110 4.460 3.110 -3.110 4.460 3.110 3.110 -4.460" Properties=species:S:1:pos:R:3 pbc="T T T"
Sm 3.110 0.000 2.230
Sm 0.000 3.110 2.230
Mg 0.000 0.000 1.938
Mg 0.000 0.000 6.983
Si 1.317 1.317 0.000
Si 1.793 -1.793 4.460
Si -1.793 1.793 4.460
Si 1.793 1.793 4.460
Pd 0.000 0.000 4.460
```

Output
* magnetization: 0.00 μB/f.u.
* crystal system: tetragonal
* final energy: -4.816 eV per atom
* mass density: 5.5 g cm⁻³
* energy relative to the elements, uncorrected: -0.4261 eV per atom

---

[25]
This record from Alexandria describes a geometry-optimized PuH2Br3 structure. The functional is PBE-GGA.

The structure in extended XYZ format:
```
12
Lattice="7.866 0.000 0.000 -3.933 6.812 0.000 0.000 0.000 7.611" Properties=species:S:1:pos:R:3 pbc="T T T"
Pu 0.000 0.000 0.000
Pu 0.000 0.000 3.806
H 0.000 4.541 0.335
H 0.000 4.541 3.470
H 3.933 2.271 4.141
H 3.933 2.271 7.276
Br 0.000 2.171 5.708
Br -2.053 5.727 5.708
Br 1.880 1.085 1.903
Br 2.053 5.727 5.708
Br 5.986 1.085 1.903
Br 3.933 4.641 1.903
```

Output
* magnetization: 7.00 μB/f.u.
* crystal system: hexagonal
* final energy: -4.592 eV per atom
* mass density: 4.0 g cm⁻³